# CaScBr2 (PBE, optimized geometry)
# Density of states at the Fermi level in states/eV/f.u.: 3.236
# Raw total energy in eV per atom: -3.854
data_CaScBr2
_chemical_formula_sum 'Ca2 Sc2 Br4'
_cell_length_a 3.641
_cell_length_b 6.588
_cell_length_c 9.622
_cell_angle_alpha 90.00
_cell_angle_beta 90.00
_cell_angle_gamma 90.00
_symmetry_space_group_name_H-M 'I m m m'
_symmetry_Int_Tables_number 71
_symmetry_space_group_name_Hall '-I 2 2'
loop_
_atom_site_label
_atom_site_type_symbol
_atom_site_fract_x
_atom_site_fract_y
_atom_site_fract_z
_atom_site_occupancy
Ca1 Ca 0.000 0.000 0.000 1
Sc1 Sc 0.000 0.000 0.500 1
Br1 Br 0.000 0.500 0.212 1